Material: Li2Cd7In2
Method: DFT, PBE
State: relaxed

Lattice parameters (Å, degrees): 7.236 6.002 6.002 104.48 84.72 84.72
Fractional coordinates of all 11 atoms:
Cd1 0.025 0.802 0.802
Cd2 0.975 0.198 0.198
In1 0.316 0.418 0.418
Cd3 0.500 0.000 0.000
Li1 0.000 0.718 0.282
Li2 0.000 0.282 0.718
In2 0.684 0.582 0.582
Cd4 0.311 0.930 0.466
Cd5 0.311 0.466 0.930
Cd6 0.689 0.534 0.070
Cd7 0.689 0.070 0.534

Computed properties:
DOS(E_F): 4.5 states/eV per cell
DFT total energy: -1.49 eV/atom
crystal system: monoclinic
SG: No. 12